Compound: AcNp4O12
Source: Alexandria
Functional: PBE
Structure: relaxed

Calculated values
- electronic total energy (eV/atom) = -9.76
- raw formation energy (eV per formula unit) = -50.5
- SG = Im-3, No. 204

a b c (Å): 7.3193 7.3193 7.3193
angles (deg): 109.47 109.47 109.47
Fractional positions:
Ac: 0.0000 0.0000 0.0000
Np: 0.0000 0.0000 0.5000
Np: 0.0000 0.5000 0.0000
Np: 0.5000 0.0000 0.0000
Np: 0.5000 0.5000 0.5000
O: 0.0036 0.2372 0.7664
O: 0.2336 0.4708 0.2372
O: 0.2336 0.9964 0.7628
O: 0.2372 0.2336 0.4708
O: 0.2372 0.7664 0.0036
O: 0.4708 0.2372 0.2336
O: 0.5292 0.7628 0.7664
O: 0.7628 0.2336 0.9964
O: 0.7628 0.7664 0.5292
O: 0.7664 0.0036 0.2372
O: 0.7664 0.5292 0.7628
O: 0.9964 0.7628 0.2336

---

Compound: AcNpO
Source: Alexandria
Functional: PBE
Structure: relaxed

Calculated values
- electronic total energy (eV/atom) = -8.25
- raw formation energy (eV per formula unit) = -2.7
- SG = Fddd, No. 70

a b c (Å): 9.3093 8.0676 7.0094
angles (deg): 75.90 57.19 46.91
Fractional positions:
Ac: 0.0258 0.0258 0.7242
Ac: 0.2758 0.2758 0.9742
Ac: 0.7242 0.7242 0.0258
Ac: 0.9742 0.9742 0.2758
Np: 0.2589 0.2589 0.4911
Np: 0.4911 0.4911 0.2589
Np: 0.5089 0.5089 0.7411
Np: 0.7411 0.7411 0.5089
O: 0.2487 0.5013 0.2487
O: 0.4987 0.7513 0.4987
O: 0.5013 0.2487 0.5013
O: 0.7513 0.4987 0.7513

---

Compound: Ac2NpO7
Source: Alexandria
Functional: PBE
Structure: relaxed

Calculated values
- electronic total energy (eV/atom) = -8.33
- raw formation energy (eV per formula unit) = -27.4
- SG = Ibam, No. 72

a b c (Å): 7.3347 7.3347 7.3347
angles (deg): 106.63 102.68 119.62
Fractional positions:
Ac: 0.1640 0.1265 0.2905
Ac: 0.3360 0.6265 0.9625
Ac: 0.6640 0.3735 0.0375
Ac: 0.8360 0.8735 0.7095
Np: 0.2500 0.7500 0.5000
Np: 0.7500 0.2500 0.5000
O: 0.0099 0.8165 0.4520
O: 0.0606 0.6342 0.6948
O: 0.1355 0.6835 0.1934
O: 0.2500 0.2500 0.0000
O: 0.3645 0.5579 0.5480
O: 0.4394 0.1342 0.5736
O: 0.4901 0.9421 0.8066
O: 0.5099 0.0579 0.1934
O: 0.5606 0.8658 0.4264
O: 0.6355 0.4421 0.4520
O: 0.7500 0.7500 0.0000
O: 0.8645 0.3165 0.8066
O: 0.9394 0.3658 0.3052
O: 0.9901 0.1835 0.5480